An optimized crystal structure of Tb8Se15. Source: Alexandria via LeMat-Bulk, functional GGA-PBE.

a b c (Å): 12.1831 11.6402 11.6402
angles (deg): 88.29 90.00 90.00
Last column: nearest neighbours and their distance in Å.
Atoms (fractional coordinates):
Tb1 0.0000 0.0000 0.0000  7 Se 2.91-3.01
Tb2 0.0000 0.2353 0.7361  8 Se 2.96-3.02
Tb3 0.0000 0.4702 0.4702  9 Se 2.96-3.10
Tb4 0.0000 0.7361 0.2353  8 Se 2.96-3.02
Tb5 0.1660 0.5853 0.8284  8 Se 2.93-3.02
Tb6 0.1660 0.8284 0.5853  8 Se 2.93-3.02
Tb7 0.1691 0.0876 0.3471  9 Se 2.97-3.16
Tb8 0.1691 0.3471 0.0876  9 Se 2.97-3.16
Tb9 0.3310 0.2313 0.7266  9 Se 2.94-3.10
Tb10 0.3310 0.7266 0.2313  9 Se 2.94-3.10
Tb11 0.3328 0.9824 0.9824  8 Se 2.99-3.03
Tb12 0.3342 0.4884 0.4884  8 Se 2.95-3.02
Tb13 0.5000 0.0780 0.3277  8 Se 2.93-3.03
Tb14 0.5000 0.3277 0.0780  8 Se 2.93-3.03
Tb15 0.5000 0.5903 0.8453  9 Se 2.98-3.14
Tb16 0.5000 0.8453 0.5903  9 Se 2.98-3.14
Tb17 0.6658 0.4884 0.4884  8 Se 2.95-3.02
Tb18 0.6672 0.9824 0.9824  8 Se 2.99-3.03
Tb19 0.6690 0.2313 0.7266  9 Se 2.94-3.10
Tb20 0.6690 0.7266 0.2313  9 Se 2.94-3.10
Tb21 0.8309 0.0876 0.3471  9 Se 2.97-3.16
Tb22 0.8309 0.3471 0.0876  9 Se 2.97-3.16
Tb23 0.8340 0.5853 0.8284  8 Se 2.93-3.02
Tb24 0.8340 0.8284 0.5853  8 Se 2.93-3.02
Se1 0.0000 0.1740 0.1740  5 Tb 2.91-3.03
Se2 0.0000 0.2098 0.4839  4 Se 2.90-3.21, 4 Tb 2.96-3.03
Se3 0.0000 0.4181 0.9107  5 Tb 2.95-3.01
Se4 0.0000 0.4839 0.2098  4 Se 2.90-3.21, 4 Tb 2.96-3.03
Se5 0.0000 0.6473 0.6473  5 Tb 2.96-2.99
Se6 0.0000 0.9107 0.4181  5 Tb 2.95-3.01
Se7 0.1015 0.8357 0.8357  1 Se 2.47
Se8 0.1579 0.0769 0.6188  1 Se 2.57
Se9 0.1579 0.6188 0.0769  1 Se 2.57
Se10 0.1649 0.1597 0.9105  5 Tb 2.91-3.05
Se11 0.1649 0.9105 0.1597  5 Tb 2.91-3.05
Se12 0.1669 0.4034 0.6533  5 Tb 2.94-3.03
Se13 0.1669 0.6533 0.4034  5 Tb 2.94-3.03
Se14 0.1896 0.3467 0.3467  2 Se 2.68, 1 Tb 2.95
Se15 0.3150 0.7254 0.9724  1 Se 2.57
Se16 0.3150 0.9724 0.7254  1 Se 2.57
Se17 0.3335 0.4123 0.9093  5 Tb 2.97-3.04
Se18 0.3335 0.9093 0.4123  5 Tb 2.97-3.04
Se19 0.3343 0.6656 0.6656  5 Tb 2.93-3.02
Se20 0.3352 0.1613 0.1613  5 Tb 2.93-3.07
Se21 0.3478 0.2313 0.4613  2 Se 2.66-2.68
Se22 0.3478 0.4613 0.2313  2 Se 2.66-2.68
Se23 0.5000 0.1135 0.5784  2 Se 2.66, 1 Tb 2.96
Se24 0.5000 0.1536 0.8995  5 Tb 2.94-3.00
Se25 0.5000 0.4108 0.6578  5 Tb 2.95-3.07
Se26 0.5000 0.5784 0.1135  2 Se 2.66, 1 Tb 2.96
Se27 0.5000 0.6578 0.4108  5 Tb 2.95-3.07
Se28 0.5000 0.8480 0.8480  4 Tb 3.00-3.03, 4 Se 3.01
Se29 0.5000 0.8995 0.1536  5 Tb 2.94-3.00
Se30 0.6522 0.2313 0.4613  2 Se 2.66-2.68
Se31 0.6522 0.4613 0.2313  2 Se 2.66-2.68
Se32 0.6648 0.1613 0.1613  5 Tb 2.93-3.07
Se33 0.6657 0.6656 0.6656  5 Tb 2.93-3.02
Se34 0.6665 0.4123 0.9093  5 Tb 2.97-3.04
Se35 0.6665 0.9093 0.4123  5 Tb 2.97-3.04
Se36 0.6851 0.7254 0.9724  1 Se 2.57
Se37 0.6851 0.9724 0.7254  1 Se 2.57
Se38 0.8104 0.3467 0.3467  2 Se 2.68, 1 Tb 2.95
Se39 0.8331 0.4034 0.6533  5 Tb 2.94-3.03
Se40 0.8331 0.6533 0.4034  5 Tb 2.94-3.03
Se41 0.8351 0.1597 0.9105  5 Tb 2.91-3.05
Se42 0.8351 0.9105 0.1597  5 Tb 2.91-3.05
Se43 0.8421 0.0769 0.6188  1 Se 2.57
Se44 0.8421 0.6188 0.0769  1 Se 2.57
Se45 0.8985 0.8357 0.8357  1 Se 2.47

Computed properties:
Symmetry = Amm2, No. 38
Theoretical density = 7.4 Mg/m³
Formation energy without anion corrections = -1.67 eV/atom
Final energy = -5.5491 eV per atom
Total moment = 0.0 μB per cell



An optimized crystal structure of Hf2TaAu2. Source: Alexandria via LeMat-Bulk, functional GGA-PBE.

a b c (Å): 7.7754 7.7754 3.2709
angles (deg): 90.00 90.00 90.00
Last column: nearest neighbours and their distance in Å.
Atoms (fractional coordinates):
Hf1 0.1753 0.3247 0.0000  6 Au 2.73-2.88
Hf2 0.3247 0.8247 0.0000  6 Au 2.73-2.88
Hf3 0.6753 0.1753 0.0000  6 Au 2.73-2.88
Hf4 0.8247 0.6753 0.0000  6 Au 2.73-2.88
Ta1 0.0000 0.0000 0.5000  4 Au 3.07, 2 Ta 3.27, 8 Hf 3.30
Ta2 0.5000 0.5000 0.5000  4 Au 3.07, 2 Ta 3.27, 8 Hf 3.30
Au1 0.1263 0.6263 0.5000  6 Hf 2.73-2.88, 1 Au 2.78
Au2 0.3737 0.1263 0.5000  6 Hf 2.73-2.88, 1 Au 2.78
Au3 0.6263 0.8737 0.5000  6 Hf 2.73-2.88, 1 Au 2.78
Au4 0.8737 0.3737 0.5000  6 Hf 2.73-2.88, 1 Au 2.78

Computed properties:
Symmetry = P4/mbm, No. 127
Theoretical density = 15.7 Mg/m³
Final energy = -7.8279 eV per atom
Total moment = 0.0 μB per cell
Energy above the most stable polymorph in this dataset = 0.1011 eV per atom



An optimized crystal structure of Na2Fe2Ni. Source: Alexandria via LeMat-Bulk, functional GGA-PBE.

a b c (Å): 8.1098 8.1098 2.5921
angles (deg): 90.00 90.00 90.00
Last column: nearest neighbours and their distance in Å.
Atoms (fractional coordinates):
Na1 0.1163 0.3837 0.0000  3 Na 2.59-2.67, 6 Fe 2.61-2.83
Na2 0.3837 0.8837 0.0000  3 Na 2.59-2.67, 6 Fe 2.61-2.83
Na3 0.6163 0.1163 0.0000  3 Na 2.59-2.67, 6 Fe 2.61-2.83
Na4 0.8837 0.6163 0.0000  3 Na 2.59-2.67, 6 Fe 2.61-2.83
Fe1 0.1865 0.6865 0.5000  2 Fe 2.59, 6 Na 2.61-2.83
Fe2 0.3135 0.1865 0.5000  2 Fe 2.59, 6 Na 2.61-2.83
Fe3 0.6865 0.8135 0.5000  2 Fe 2.59, 6 Na 2.61-2.83
Fe4 0.8135 0.3135 0.5000  2 Fe 2.59, 6 Na 2.61-2.83
Ni1 0.0000 0.0000 0.0000  2 Ni 2.59
Ni2 0.5000 0.5000 0.0000  2 Ni 2.59

Computed properties:
Symmetry = P4/mbm, No. 127
Theoretical density = 4.2 Mg/m³
Final energy = -3.8418 eV per atom
Total moment = 12.4 μB per cell
Energy above the most stable polymorph in this dataset = 0.4510 eV per atom



An optimized crystal structure of LuScInCu. Source: Alexandria via LeMat-Bulk, functional GGA-PBE.

a b c (Å): 4.9551 4.9551 4.9551
angles (deg): 60.00 60.00 60.00
Last column: nearest neighbours and their distance in Å.
Atoms (fractional coordinates):
Lu1 0.0000 0.0000 0.0000  4 In 3.03, 4 Cu 3.03
Sc1 0.5000 0.5000 0.5000  4 Cu 3.03, 4 In 3.03
In1 0.2500 0.2500 0.2500  4 Sc 3.03, 4 Lu 3.03
Cu1 0.7500 0.7500 0.7500  4 Sc 3.03, 4 Lu 3.03

Computed properties:
Symmetry = F-43m, No. 216
Theoretical density = 7.7 Mg/m³
Final energy = -4.7323 eV per atom
Total moment = 0.0 μB per cell



An optimized crystal structure of Mg3Cu2Se2. Source: Alexandria via LeMat-Bulk, functional GGA-PBE.

a b c (Å): 7.5922 7.5922 10.5427
angles (deg): 110.42 110.42 30.23
Last column: nearest neighbours and their distance in Å.
Atoms (fractional coordinates):
Mg1 0.0986 0.0986 0.1680  1 Cu 2.66, 2 Se 2.72
Mg2 0.1478 0.1478 0.8491  1 Cu 2.71, 4 Se 2.73-2.84
Mg3 0.3594 0.3594 0.5888  3 Cu 2.54-2.69, 3 Se 2.65-2.82
Mg4 0.6406 0.6406 0.4112  3 Cu 2.54-2.69, 3 Se 2.65-2.82
Mg5 0.8522 0.8522 0.1509  1 Cu 2.71, 4 Se 2.73-2.84
Mg6 0.9014 0.9014 0.8320  1 Cu 2.66, 2 Se 2.72
Cu1 0.0246 0.0246 0.3642  2 Cu 2.47, 4 Mg 2.54-2.71
Cu2 0.4319 0.4319 0.3880  3 Cu 2.47-2.48, 2 Se 2.63, 1 Mg 2.69
Cu3 0.5681 0.5681 0.6120  3 Cu 2.47-2.48, 2 Se 2.63, 1 Mg 2.69
Cu4 0.9754 0.9754 0.6358  2 Cu 2.47, 4 Mg 2.54-2.71
Se1 0.1864 0.1864 0.6147  3 Cu 2.63-2.84, 4 Mg 2.65-2.82
Se2 0.3550 0.3550 0.9745  5 Mg 2.72-2.84
Se3 0.6450 0.6450 0.0255  5 Mg 2.72-2.84
Se4 0.8136 0.8136 0.3853  3 Cu 2.63-2.84, 4 Mg 2.65-2.82

Computed properties:
Symmetry = C2/m, No. 12
Theoretical density = 4.2 Mg/m³
Formation energy without anion corrections = -0.39 eV/atom
Final energy = -3.2428 eV per atom
Total moment = 0.0 μB per cell
Energy above the most stable polymorph in this dataset = 0.0000 eV per atom



An optimized crystal structure of In12Ge5Sb3. Source: Alexandria via LeMat-Bulk, functional GGA-PBE.

a b c (Å): 14.7244 14.7244 14.7244
angles (deg): 109.47 109.47 109.47
Last column: nearest neighbours and their distance in Å.
Atoms (fractional coordinates):
In1 0.0456 0.2180 0.1278  2 Ge 2.70-2.83
In2 0.0456 0.3276 0.9178  2 Ge 2.70-2.83
In3 0.0822 0.6278 0.4098  2 Ge 2.70-2.83
In4 0.0822 0.9544 0.6724  2 Ge 2.70-2.83
In5 0.0902 0.7180 0.6724  2 Ge 2.70-2.83
In6 0.0902 0.8722 0.4178  2 Ge 2.70-2.83
In7 0.1278 0.0456 0.2180  2 Ge 2.70-2.83
In8 0.1278 0.5822 0.9098  2 Ge 2.70-2.83
In9 0.1724 0.2180 0.5902  2 Ge 2.70-2.83
In10 0.1724 0.4544 0.5822  2 Ge 2.70-2.83
In11 0.2180 0.1278 0.0456  2 Ge 2.70-2.83
In12 0.2180 0.5902 0.1724  2 Ge 2.70-2.83
In13 0.2820 0.3276 0.9098  2 Ge 2.70-2.83
In14 0.2820 0.4544 0.3722  2 Ge 2.70-2.83
In15 0.3276 0.9098 0.2820  2 Ge 2.70-2.83
In16 0.3276 0.9178 0.0456  2 Ge 2.70-2.83
In17 0.3722 0.2820 0.4544  2 Ge 2.70-2.83
In18 0.3722 0.5902 0.9178  2 Ge 2.70-2.83
In19 0.4098 0.0822 0.6278  2 Ge 2.70-2.83
In20 0.4098 0.8276 0.7820  2 Ge 2.70-2.83
In21 0.4178 0.0902 0.8722  2 Ge 2.70-2.83
In22 0.4178 0.8276 0.5456  2 Ge 2.70-2.83
In23 0.4544 0.3722 0.2820  2 Ge 2.70-2.83
In24 0.4544 0.5822 0.1724  2 Ge 2.70-2.83
In25 0.5456 0.4178 0.8276  2 Ge 2.70-2.83
In26 0.5456 0.6278 0.7180  2 Ge 2.70-2.83
In27 0.5822 0.1724 0.4544  2 Ge 2.70-2.83
In28 0.5822 0.9098 0.1278  2 Ge 2.70-2.83
In29 0.5902 0.1724 0.2180  2 Ge 2.70-2.83
In30 0.5902 0.9178 0.3722  2 Ge 2.70-2.83
In31 0.6278 0.4098 0.0822  2 Ge 2.70-2.83
In32 0.6278 0.7180 0.5456  2 Ge 2.70-2.83
In33 0.6724 0.0822 0.9544  2 Ge 2.70-2.83
In34 0.6724 0.0902 0.7180  2 Ge 2.70-2.83
In35 0.7180 0.5456 0.6278  2 Ge 2.70-2.83
In36 0.7180 0.6724 0.0902  2 Ge 2.70-2.83
In37 0.7820 0.4098 0.8276  2 Ge 2.70-2.83
In38 0.7820 0.8722 0.9544  2 Ge 2.70-2.83
In39 0.8276 0.5456 0.4178  2 Ge 2.70-2.83
In40 0.8276 0.7820 0.4098  2 Ge 2.70-2.83
In41 0.8722 0.4178 0.0902  2 Ge 2.70-2.83
In42 0.8722 0.9544 0.7820  2 Ge 2.70-2.83
In43 0.9098 0.1278 0.5822  2 Ge 2.70-2.83
In44 0.9098 0.2820 0.3276  2 Ge 2.70-2.83
In45 0.9178 0.0456 0.3276  2 Ge 2.70-2.83
In46 0.9178 0.3722 0.5902  2 Ge 2.70-2.83
In47 0.9544 0.6724 0.0822  2 Ge 2.70-2.83
In48 0.9544 0.7820 0.8722  2 Ge 2.70-2.83
Ge1 0.0000 0.0000 0.0000  6 In 2.83
Ge2 0.0000 0.0000 0.5000  6 In 2.83
Ge3 0.0000 0.5000 0.0000  6 In 2.83
Ge4 0.0000 0.5000 0.5000  6 In 2.83
Ge5 0.1250 0.7500 0.8750  4 In 2.70
Ge6 0.1250 0.8750 0.2500  4 In 2.70
Ge7 0.2500 0.1250 0.8750  4 In 2.70
Ge8 0.2500 0.6250 0.3750  4 In 2.70
Ge9 0.3750 0.2500 0.6250  4 In 2.70
Ge10 0.3750 0.6250 0.7500  4 In 2.70
Ge11 0.5000 0.0000 0.0000  6 In 2.83
Ge12 0.5000 0.0000 0.5000  6 In 2.83
Ge13 0.5000 0.5000 0.0000  6 In 2.83
Ge14 0.5000 0.5000 0.5000  6 In 2.83
Ge15 0.6250 0.3750 0.2500  4 In 2.70
Ge16 0.6250 0.7500 0.3750  4 In 2.70
Ge17 0.7500 0.3750 0.6250  4 In 2.70
Ge18 0.7500 0.8750 0.1250  4 In 2.70
Ge19 0.8750 0.1250 0.7500  4 In 2.70
Ge20 0.8750 0.2500 0.1250  4 In 2.70
Sb1 0.1250 0.2500 0.3750  8 In 3.15-3.24
Sb2 0.1250 0.3750 0.7500  8 In 3.15-3.24
Sb3 0.2500 0.3750 0.1250  8 In 3.15-3.24
Sb4 0.2500 0.8750 0.6250  8 In 3.15-3.24
Sb5 0.3750 0.1250 0.2500  8 In 3.15-3.24
Sb6 0.3750 0.7500 0.1250  8 In 3.15-3.24
Sb7 0.6250 0.2500 0.8750  8 In 3.15-3.24
Sb8 0.6250 0.8750 0.7500  8 In 3.15-3.24
Sb9 0.7500 0.1250 0.3750  8 In 3.15-3.24
Sb10 0.7500 0.6250 0.8750  8 In 3.15-3.24
Sb11 0.8750 0.6250 0.2500  8 In 3.15-3.24
Sb12 0.8750 0.7500 0.6250  8 In 3.15-3.24

Computed properties:
Symmetry = Ia-3d, No. 230
Theoretical density = 5.7 Mg/m³
Formation energy without anion corrections = 0.16 eV/atom
Final energy = -3.2536 eV per atom
Total moment = 0.0 μB per cell